Computed, not measured: a relaxed NaPmEuIn crystal at the PBE-GGA level of DFT.

Computed properties:
The calculated formation energy comes out at -0.151 eV per atom. The value obtained for the density of states at the Fermi level is 11.8 states/eV/f.u. Its space-group type is F-43m (216). The value obtained for the density is 5.78 g/cm³.

POSCAR file:
```
NaPmEuIn
1.0
5.6115 0.0000 0.0000
2.8057 4.8597 0.0000
2.8057 1.6199 4.5818
Pm In Na Eu
1 1 1 1
direct
0.7500 0.7500 0.7500
0.5000 0.5000 0.5000
0.0000 0.0000 0.0000
0.2500 0.2500 0.2500
```